Computed, not measured: an optimized crystal structure of LaZrSc2 at the PBE level of DFT.

## Properties
The density of states at the Fermi level is 1.72 states/eV/atom. Its space-group type is C2/m (12). The energy above the most stable polymorph in this dataset is 4.78 kJ/mol of atoms. The total magnetization is 0.00 μB per cell. As for the formation energy: 102 meV/atom.

Unit cell a=5.686 b=5.686 c=5.969 alpha=97.14 beta=97.14 gamma=33.51
Fractional coordinates of all 4 atoms:
La1 0.000 0.000 0.000
Zr1 0.500 0.500 0.500
Sc1 0.243 0.243 0.729
Sc2 0.757 0.757 0.271